# 1
Below is a geometry-optimized SmAs2PdRh5 structure, with properties calculated at the PBE level.

As for the total DFT energy (no corrections): -6.524 eV per atom. The spin magnetization is 0.00 μB per formula unit. The calculation puts the density of states at the Fermi level at 10.6 states/eV/f.u.

The space group is P4/mmm (No. 123) and the conventional cell measures 4.157, 4.157 and 8.890 Å, with angles of 90.00, 90.00 and 90.00 degrees. The inequivalent atoms are Sm at (0.000, 0.000, 0.000), As at (0.500, 0.500, 0.364), Pd at (0.000, 0.000, 0.500), Rh at (0.000, 0.500, 0.235) and Rh at (0.500, 0.500, 0.000).

---

# 2
Below is a geometry-optimized Ga2IF structure, with properties calculated at the PBE level.

The excess energy over the best structure of this formula in the dataset comes out at 0 meV per atom. The spin magnetization is 0.00 μB per formula unit. The calculation puts the density of states at the Fermi level at 0.0 states/eV/f.u. The uncorrected formation energy is -0.8489 eV/atom.

The space group is I-42d (No. 122) and the conventional cell measures 5.659, 5.659 and 14.893 Å, with angles of 90.00, 90.00 and 90.00 degrees. The inequivalent atoms are Ga at (0.107, 0.250, 0.125), I at (0.000, 0.000, 0.500) and F at (0.000, 0.000, 0.000).

---

# 3
Below is a geometry-optimized KSn2GeSe6 structure, with properties calculated at the PBE level.

The spin magnetization is 0.00 μB per formula unit. The calculation puts the density of states at the Fermi level at 4.6 states/eV/f.u. The uncorrected formation energy is -0.3882 eV/atom.

The space group is C2/c (No. 15) and the conventional cell measures 15.387, 13.302 and 7.269 Å, with angles of 90.00, 115.87 and 90.00 degrees. The inequivalent atoms are K at (0.000, 0.118, 0.250), Sn at (0.217, 0.412, 0.218), Ge at (0.000, 0.260, 0.750), Se at (0.034, 0.351, 0.054), Se at (0.111, 0.124, 0.788) and Se at (0.235, 0.404, 0.597).

---

Q: spin magnetization of number 2 (Ga2IF)?
A: 0.00 μB per formula unit

---

Q: Look up the spin magnetization of the first one.
A: 0.00 μB per formula unit